# 1
Sr4CaIr after structural relaxation. Source: the Alexandria database, functional PBE.

## Properties
- ΔE_f (eV/atom) = 0.079
- N(E_F) (states/eV/f.u.) = 6.24
- total moment (μB/f.u.) = 0.0
- symmetry = P4/mmm (123)
- mass density (g/cm³) = 3.5
- total energy (eV per atom) = -2.85

Cell: 5.2498 5.2498 9.9718 Å, 90.00 90.00 90.00°
Sites, in units of the cell vectors:
Sr: 0.5000 0.0000 0.6768
Sr: 0.0000 0.5000 0.6768
Sr: 0.0000 0.5000 0.3232
Sr: 0.5000 0.0000 0.3232
Ca: 0.0000 0.0000 0.0000
Ir: 0.5000 0.5000 0.5000

=====

# 2
SrCaIr2 after structural relaxation. Source: the Alexandria database, functional PBE.

## Properties
- ΔE_f (eV/atom) = 0.194
- N(E_F) (states/eV/f.u.) = 2.84
- total moment (μB/f.u.) = 0.0
- symmetry = C2/m (12)
- mass density (g/cm³) = 8.9
- total energy (eV per atom) = -5.16

Cell: 4.9829 4.9829 6.4427 Å, 77.33 77.33 38.07°
Sites, in units of the cell vectors:
Sr: 0.7500 0.7500 0.7500
Ir: 0.0003 0.0003 0.0838
Ir: 0.4997 0.4997 0.4162
Ca: 0.2500 0.2500 0.2500